A plane-wave DFT calculation with PBE was carried out for a relaxed Sr4Cr crystal.

Lattice parameters (Å, degrees): 6.3669 6.3669 6.3669 90.00 90.00 90.00
Last column: nearest neighbours and their distance in Å.
Element x y z (fractional)
Sr 0.0000 0.0000 0.0000  12 Sr 4.50
Sr 0.5000 0.0000 0.5000  2 Cr 3.18
Sr 0.0000 0.5000 0.5000  2 Cr 3.18
Cr 0.5000 0.5000 0.5000  6 Sr 3.18
Sr 0.5000 0.5000 0.0000  2 Cr 3.18

Properties
E_form = 427 meV per atom
uncorrected energy = -2.84 eV per atom